Record 1
Density functional theory data (PBE) for a geometry-optimized PrNdTl2Cd2 structure.

Unit cell a=4.9780 b=4.9780 c=7.6826 alpha=90.00 beta=90.00 gamma=120.00
Space group P3m1 (No. 156)
Asymmetric unit:
Pr  0.0000  0.0000  0.0000
Nd  0.0000  0.0000  0.5000
Tl  0.3333  0.6667  0.7098
Tl  0.6667  0.3333  0.2102
Cd  0.3333  0.6667  0.2909
Cd  0.6667  0.3333  0.7905

Values from the calculation:
theoretical density	9.3	g/cm³
DFT total energy	-18.32	eV for the cell shown
total magnetization	0.00	μB/cell

=====

Record 2
Density functional theory data (PBE) for a geometry-optimized PrNd2Tl2Zn3Cd structure.

Unit cell a=4.6529 b=12.9329 c=7.4503 alpha=90.00 beta=90.00 gamma=90.00
Space group Amm2 (No. 38)
Asymmetric unit:
Pr  0.0000  0.0000  0.0000
Nd  0.0000  0.2098  0.6286
Tl  0.5000  0.1675  0.9191
Zn  0.5000  0.0000  0.6480
Zn  0.5000  0.1141  0.3054
Cd  0.0000  0.0000  0.4214

Values from the calculation:
theoretical density	8.5	g/cm³
DFT total energy	-52.93	eV for the cell shown
total magnetization	0.06	μB/cell

=====

Record 3
Density functional theory data (PBE) for a geometry-optimized NdPuCd structure.

Unit cell a=7.1600 b=7.1600 c=7.1600 alpha=90.00 beta=90.00 gamma=90.00
Space group F-43m (No. 216)
Asymmetric unit:
Nd  0.0000  0.0000  0.0000
Pu  0.2500  0.2500  0.7500
Cd  0.2500  0.2500  0.2500

Values from the calculation:
theoretical density	9.1	g/cm³
DFT total energy	-73.47	eV for the cell shown
total magnetization	23.59	μB/cell
ΔE_f	0.47	eV per atom

=====

Record 4
Density functional theory data (PBE) for a geometry-optimized RbNdCdS3 structure.

Unit cell a=17.5021 b=4.2259 c=9.1249 alpha=90.00 beta=103.83 gamma=90.00
Space group C2/m (No. 12)
Asymmetric unit:
Rb  0.1447  0.0000  0.0667
Nd  0.1696  0.0000  0.5874
Cd  0.0037  0.5000  0.7209
S  0.0000  0.0000  0.5000
S  0.0000  0.5000  0.0000
S  0.1596  0.5000  0.7829
S  0.1644  0.5000  0.3705

Values from the calculation:
theoretical density	4.4	g/cm³
DFT total energy	-107.81	eV for the cell shown
total magnetization	0.01	μB/cell

=====

Record 5
Density functional theory data (PBE) for a geometry-optimized RbNdCdS3 structure.

Unit cell a=8.4706 b=4.2514 c=10.5620 alpha=90.00 beta=108.14 gamma=90.00
Space group P2_1/m (No. 11)
Asymmetric unit:
Rb  0.2400  0.2500  0.2262
Nd  0.1894  0.7500  0.6284
Cd  0.4169  0.2500  0.8879
S  0.0305  0.7500  0.3583
S  0.2736  0.7500  0.9401
S  0.4242  0.2500  0.6523

Values from the calculation:
theoretical density	4.0	g/cm³
DFT total energy	-54.56	eV for the cell shown
total magnetization	0.00	μB/cell

=====

Record 6
Density functional theory data (PBE) for a geometry-optimized RbNdCdSe3 structure.

Unit cell a=18.2972 b=4.3681 c=9.4318 alpha=90.00 beta=103.72 gamma=90.00
Space group C2/m (No. 12)
Asymmetric unit:
Rb  0.1430  0.0000  0.0681
Nd  0.1714  0.0000  0.5870
Cd  0.0080  0.5000  0.7195
Se  0.0000  0.0000  0.5000
Se  0.0000  0.5000  0.0000
Se  0.1630  0.5000  0.7890
Se  0.1636  0.5000  0.3685

Values from the calculation:
theoretical density	5.3	g/cm³
DFT total energy	-98.49	eV for the cell shown
total magnetization	0.01	μB/cell